The following is a GGA-PBE calculation of a relaxed TaMn2AgHg crystal, from Alexandria.

Properties
Energy relative to the elements, meV/atom: 1245
D(E_F), states/eV/f.u.: 2.9
Electronic total energy, eV/atom: -5.42

Structure (CIF):
```
data_TaMn2AgHg
_chemical_formula_sum 'Ta1 Mn2 Ag1 Hg1'
_space_group_name_H-M_alt 'P 4/m m m'
_space_group_IT_number 123
_space_group_name_Hall '-P 4 2'
_cell_length_a 4.6546
_cell_length_b 4.6546
_cell_length_c 5.4057
_cell_angle_alpha 90.00
_cell_angle_beta 90.00
_cell_angle_gamma 90.00
loop_
_atom_site_label
_atom_site_type_symbol
_atom_site_fract_x
_atom_site_fract_y
_atom_site_fract_z
Ta1 Ta 0.0000 0.0000 0.0000
Mn1 Mn 0.0000 0.5000 0.0000
Ag1 Ag 0.5000 0.5000 0.5000
Hg1 Hg 0.0000 0.0000 0.5000
```